No. 1
K2ZrTaO6: relaxed, PBE-GGA.

energy above the most stable polymorph in this dataset: 2 meV per atom
space group: R-3m, No. 166

Cell lengths 5.7887, 5.7887, 5.7887 Å; angles 60.08, 60.08, 60.08 degrees
Closest atoms and distances in Å follow each position.
Positions (direct):
K  0.2500  0.2500  0.2500  12 O 2.89-2.90
K  0.7500  0.7500  0.7500  12 O 2.89-2.90
Zr  0.0000  0.0000  0.0000  6 O 2.10
Ta  0.5000  0.5000  0.5000  6 O 1.99
O  0.2568  0.2568  0.7423  1 Ta 1.99, 1 Zr 2.10
O  0.2568  0.7423  0.2568  1 Ta 1.99, 1 Zr 2.10
O  0.2577  0.7432  0.7432  1 Ta 1.99, 1 Zr 2.10
O  0.7423  0.2568  0.2568  1 Ta 1.99, 1 Zr 2.10
O  0.7432  0.2577  0.7432  1 Ta 1.99, 1 Zr 2.10
O  0.7432  0.7432  0.2577  1 Ta 1.99, 1 Zr 2.10

***

No. 2
DyZrOs: relaxed, PBE-GGA.

energy above the most stable polymorph in this dataset: 0 meV per atom
space group: F-43m, No. 216
ΔE_f: 0.499 eV/atom

Cell lengths 4.5936, 4.5936, 4.5936 Å; angles 60.00, 60.00, 60.00 degrees
Closest atoms and distances in Å follow each position.
Positions (direct):
Dy  0.0000  0.0000  0.0000  4 Zr 2.81
Zr  0.2500  0.2500  0.2500  4 Os 2.81, 4 Dy 2.81
Os  0.5000  0.5000  0.5000  4 Zr 2.81

***

No. 3
NpCuB: relaxed, PBE-GGA.

energy above the most stable polymorph in this dataset: 448 meV per atom
space group: F-43m, No. 216

Cell lengths 4.1656, 4.1656, 4.1656 Å; angles 60.00, 60.00, 60.00 degrees
Closest atoms and distances in Å follow each position.
Positions (direct):
Np  0.0000  0.0000  0.0000  4 Cu 2.55
Cu  0.7500  0.7500  0.7500  4 Np 2.55, 4 B 2.55
B  0.5000  0.5000  0.5000  4 Cu 2.55

***

No. 4
YHo2Sn3Pd2Pt: relaxed, PBE-GGA.

final energy: -5.88 eV per atom
space group: Amm2, No. 38

Cell lengths 3.9412, 7.5860, 7.5860 Å; angles 120.11, 90.00, 90.00 degrees
Closest atoms and distances in Å follow each position.
Positions (direct):
Y  0.0000  0.0000  0.0000  1 Pt 3.05, 4 Pd 3.06, 6 Sn 3.22-3.32
Ho  0.0000  0.1984  0.5991  4 Pd 3.03, 1 Pt 3.03, 6 Sn 3.23-3.32
Ho  0.0000  0.5991  0.1984  4 Pd 3.03, 1 Pt 3.03, 6 Sn 3.23-3.32
Sn  0.5000  0.3365  0.3365  2 Pt 2.79, 2 Pd 2.84
Sn  0.5000  0.5994  0.8611  2 Pt 2.80, 2 Pd 2.82-2.84
Sn  0.5000  0.8611  0.5994  2 Pt 2.80, 2 Pd 2.82-2.84
Pd  0.5000  0.2682  0.9320  3 Sn 2.82-2.84, 4 Ho 3.03, 2 Y 3.06
Pd  0.5000  0.9320  0.2682  3 Sn 2.82-2.84, 4 Ho 3.03, 2 Y 3.06
Pt  0.0000  0.5975  0.5975  6 Sn 2.79-2.80, 2 Ho 3.03, 1 Y 3.05

***

No. 5
LaY2Mg3Ir3: relaxed, PBE-GGA.

final energy: -6.10 eV per atom
space group: Amm2, No. 38

Cell lengths 4.1071, 7.3387, 7.3387 Å; angles 119.63, 90.00, 90.00 degrees
Closest atoms and distances in Å follow each position.
Positions (direct):
La  0.0000  0.0000  0.0000  5 Ir 3.03-3.11, 6 Mg 3.28-3.39
Y  0.0000  0.4143  0.8233  5 Ir 2.98-3.04, 6 Mg 3.27-3.32
Y  0.0000  0.8233  0.4143  5 Ir 2.98-3.04, 6 Mg 3.27-3.32
Mg  0.5000  0.1738  0.4203  4 Ir 2.74-2.87, 1 Mg 3.06
Mg  0.5000  0.4203  0.1738  4 Ir 2.74-2.87, 1 Mg 3.06
Mg  0.5000  0.6532  0.6532  4 Ir 2.68-2.89
Ir  0.0000  0.4209  0.4209  6 Mg 2.68-2.74, 2 Y 2.98
Ir  0.5000  0.0851  0.7473  3 Mg 2.78-2.89, 4 Y 3.01-3.04, 2 La 3.03
Ir  0.5000  0.7473  0.0851  3 Mg 2.78-2.89, 4 Y 3.01-3.04, 2 La 3.03

***

No. 6
ZrCoAsOs: relaxed, PBE-GGA.

energy above the most stable polymorph in this dataset: 0 meV per atom
space group: F-43m, No. 216

Cell lengths 4.4440, 4.4440, 4.4440 Å; angles 60.00, 60.00, 60.00 degrees
Closest atoms and distances in Å follow each position.
Positions (direct):
Zr  0.0000  0.0000  0.0000  4 Co 2.72, 4 Os 2.72
Co  0.7500  0.7500  0.7500  4 As 2.72, 4 Zr 2.72
As  0.5000  0.5000  0.5000  4 Co 2.72, 4 Os 2.72
Os  0.2500  0.2500  0.2500  4 As 2.72, 4 Zr 2.72

***

No. 7
Ho3Te2Pb: relaxed, PBE-GGA.

final energy: -5.01 eV per atom
space group: Immm, No. 71

Cell lengths 7.5593, 7.5593, 7.5593 Å; angles 146.15, 131.82, 60.18 degrees
Closest atoms and distances in Å follow each position.
Positions (direct):
Ho  0.0000  0.0000  0.0000  2 Pb 3.09, 4 Te 3.11
Ho  0.3387  0.3387  0.0000  2 Pb 3.05, 4 Te 3.09-3.13
Ho  0.6613  0.6613  0.0000  2 Pb 3.05, 4 Te 3.09-3.13
Te  0.1683  0.6683  0.5000  6 Ho 3.09-3.13
Te  0.8317  0.3317  0.5000  6 Ho 3.09-3.13
Pb  0.5000  0.0000  0.5000  6 Ho 3.05-3.09

***

No. 8
Mg2Nb2AlGaOs2: relaxed, PBE-GGA.

final energy: -6.82 eV per atom
space group: P-4m2, No. 115

Cell lengths 4.4608, 4.4608, 6.3099 Å; angles 90.00, 90.00, 90.00 degrees
Closest atoms and distances in Å follow each position.
Positions (direct):
Mg  0.0000  0.5000  0.2493  2 Ga 2.73, 4 Nb 2.73, 2 Al 2.73
Mg  0.5000  0.0000  0.7507  2 Ga 2.73, 4 Nb 2.73, 2 Al 2.73
Nb  0.0000  0.0000  0.0000  4 Mg 2.73, 4 Os 2.74
Nb  0.5000  0.5000  0.5000  4 Os 2.72, 4 Mg 2.73
Al  0.0000  0.0000  0.5000  4 Os 2.72, 4 Mg 2.73
Ga  0.5000  0.5000  0.0000  4 Mg 2.73, 4 Os 2.74
Os  0.0000  0.5000  0.7474  4 Nb 2.72-2.74, 2 Al 2.72, 2 Ga 2.74
Os  0.5000  0.0000  0.2526  4 Nb 2.72-2.74, 2 Al 2.72, 2 Ga 2.74